First-principles (GGA-PBE) data for a geometry-optimized Sr2ZnPd5Pt2 structure, as listed in Alexandria via LeMat-Bulk.

SG: P4/mbm (127)
DFT formation energy in meV per atom: -425
N(E_F) in states/eV per atom: 0.56

Unit cell a=3.864 b=10.023 c=10.023 alpha=90.00 beta=90.00 gamma=90.00
Positions (direct):
Sr  0.000  0.671  0.171
Sr  0.000  0.329  0.829
Sr  0.000  0.171  0.329
Sr  0.000  0.829  0.671
Zn  0.000  0.000  0.000
Zn  0.000  0.500  0.500
Pd  0.500  0.190  0.058
Pd  0.500  0.810  0.942
Pd  0.500  0.058  0.810
Pd  0.500  0.690  0.442
Pd  0.500  0.942  0.190
Pd  0.500  0.310  0.558
Pd  0.500  0.558  0.690
Pd  0.500  0.442  0.310
Pd  0.500  0.500  0.000
Pd  0.500  0.000  0.500
Pt  0.000  0.129  0.629
Pt  0.000  0.871  0.371
Pt  0.000  0.629  0.871
Pt  0.000  0.371  0.129